K2AcCrF8 GGA+U relaxed; energy = -5.611 eV/atom
1.0
4.4330 0.0000 0.0000
0.0000 7.4897 0.0000
-0.5224 0.0000 6.0946
K Ac Cr F
2 1 1 8
Cartesian
0.0000 1.6809 0.0000
0.0000 5.8088 0.0000
1.9553 3.7448 3.0473
1.9553 0.0000 3.0473
-0.0897 3.7448 1.6761
0.4164 0.0000 1.9150
1.4661 1.5620 4.2376
1.4661 5.9277 4.2376
2.4445 1.5620 1.8570
2.4445 5.9277 1.8570
3.4942 0.0000 4.1796
4.0002 3.7448 4.4186